An optimized crystal structure of Tm2Ga12Ag. Source: the Alexandria database, functional PBE-GGA.

Lattice parameters (Å, degrees): 6.213 6.213 15.181 90.00 90.00 90.00
Element x y z (fractional)
Tm (0.250, 0.750, 0.246)
Tm (0.250, 0.750, 0.754)
Tm (0.750, 0.250, 0.246)
Tm (0.750, 0.250, 0.754)
Ga (0.000, 0.000, 0.096)
Ga (0.000, 0.000, 0.904)
Ga (0.000, 0.500, 0.096)
Ga (0.000, 0.500, 0.904)
Ga (0.086, 0.586, 0.430)
Ga (0.086, 0.914, 0.570)
Ga (0.250, 0.250, 0.189)
Ga (0.250, 0.250, 0.349)
Ga (0.250, 0.250, 0.651)
Ga (0.250, 0.250, 0.811)
Ga (0.414, 0.586, 0.570)
Ga (0.414, 0.914, 0.430)
Ga (0.500, 0.000, 0.096)
Ga (0.500, 0.000, 0.904)
Ga (0.500, 0.500, 0.096)
Ga (0.500, 0.500, 0.904)
Ga (0.586, 0.086, 0.570)
Ga (0.586, 0.414, 0.430)
Ga (0.750, 0.750, 0.189)
Ga (0.750, 0.750, 0.349)
Ga (0.750, 0.750, 0.651)
Ga (0.750, 0.750, 0.811)
Ga (0.914, 0.086, 0.430)
Ga (0.914, 0.414, 0.570)
Ag (0.250, 0.750, 0.000)
Ag (0.750, 0.250, 0.000)

Calculated values
Calculated total energy ... -3.431 eV/atom
Formation energy from the elements ... -0.22 eV/atom
Total magnetization ... 0.000 μB/atom

***

An optimized crystal structure of LiW2Cl. Source: the Alexandria database, functional PBE-GGA.

Lattice parameters (Å, degrees): 9.212 9.212 9.212 17.76 17.76 17.76
Element x y z (fractional)
Li (0.000, 0.000, 0.000)
W (0.244, 0.244, 0.244)
W (0.756, 0.756, 0.756)
Cl (0.500, 0.500, 0.500)

Calculated values
Energy relative to the elements, uncorrected ... 0.762 eV per atom
Calculated total energy ... -6.655 eV/atom
Excess energy over the best structure of this formula in the dataset ... 0.714 eV/atom
Total magnetization ... 0.000 μB/atom

***

An optimized crystal structure of PaZnCl6. Source: the Alexandria database, functional PBE-GGA.

Lattice parameters (Å, degrees): 7.067 7.067 6.434 98.21 98.21 125.74
Element x y z (fractional)
Pa (0.000, 0.000, 0.000)
Zn (0.500, 0.500, 0.500)
Cl (0.131, 0.410, 0.269)
Cl (0.250, 0.250, 0.748)
Cl (0.410, 0.131, 0.269)
Cl (0.590, 0.869, 0.731)
Cl (0.750, 0.750, 0.252)
Cl (0.869, 0.590, 0.731)

Calculated values
Energy relative to the elements, uncorrected ... -1.533 eV per atom
Calculated total energy ... -4.264 eV/atom
Excess energy over the best structure of this formula in the dataset ... 0.000 eV/atom
Total magnetization ... 0.126 μB/atom